1.
Entry from Alexandria via LeMat-Bulk: a relaxed structure of Hf2MgNi (PBE-GGA).

Structure (CIF):
```
data_Hf2MgNi
_space_group_name_H-M_alt 'P 1'
_space_group_IT_number 1
_cell_length_a 3.043
_cell_length_b 3.043
_cell_length_c 8.249
_cell_angle_alpha 90.00
_cell_angle_beta 90.00
_cell_angle_gamma 90.00
loop_
_space_group_symop_operation_xyz
'x,y,z'
loop_
_atom_site_label
_atom_site_fract_x
_atom_site_fract_y
_atom_site_fract_z
_atom_site_occupancy
Hf1 0.000 0.000 0.205 1
Hf2 0.000 0.000 0.795 1
Mg1 0.500 0.500 0.500 1
Ni1 0.500 0.500 0.000 1
```

Computed properties:
- energy above the lowest structure with this stoichiometry (meV per atom) = 0.0
- E_form (kJ per mole of atoms) = -7.5
- energy (Ry per atom) = -0.5070

=====

2.
Entry from Alexandria via LeMat-Bulk: a relaxed structure of RbZnAsBr2 (PBE-GGA).

Structure (CIF):
```
data_RbZnAsBr2
_space_group_name_H-M_alt 'P 1'
_space_group_IT_number 1
_cell_length_a 5.711
_cell_length_b 5.711
_cell_length_c 4.894
_cell_angle_alpha 90.00
_cell_angle_beta 90.00
_cell_angle_gamma 90.00
loop_
_space_group_symop_operation_xyz
'x,y,z'
loop_
_atom_site_label
_atom_site_fract_x
_atom_site_fract_y
_atom_site_fract_z
_atom_site_occupancy
Rb1 0.000 0.000 0.000 1
Zn1 0.500 0.500 0.500 1
As1 0.500 0.500 0.000 1
Br1 0.000 0.500 0.500 1
Br2 0.500 0.000 0.500 1
```

Computed properties:
- energy above the lowest structure with this stoichiometry (meV per atom) = 0.0
- energy relative to the elements, uncorrected (eV per atom) = -0.54
- energy (Ry per atom) = -0.1900

=====

3.
Entry from Alexandria via LeMat-Bulk: a relaxed structure of Rb4MnGe3Br12 (PBE-GGA).

Structure (CIF):
```
data_Rb4MnGe3Br12
_space_group_name_H-M_alt 'P 1'
_space_group_IT_number 1
_cell_length_a 9.564
_cell_length_b 9.564
_cell_length_c 9.564
_cell_angle_alpha 109.47
_cell_angle_beta 109.47
_cell_angle_gamma 109.47
loop_
_space_group_symop_operation_xyz
'x,y,z'
loop_
_atom_site_label
_atom_site_fract_x
_atom_site_fract_y
_atom_site_fract_z
_atom_site_occupancy
Rb1 0.000 0.000 0.500 1
Rb2 0.000 0.500 0.000 1
Rb3 0.500 0.000 0.000 1
Rb4 0.500 0.500 0.500 1
Mn1 0.000 0.000 0.000 1
Ge1 0.000 0.500 0.500 1
Ge2 0.500 0.000 0.500 1
Ge3 0.500 0.500 0.000 1
Br1 0.000 0.244 0.244 1
Br2 0.000 0.756 0.756 1
Br3 0.244 0.000 0.244 1
Br4 0.244 0.244 0.000 1
Br5 0.250 0.500 0.750 1
Br6 0.250 0.750 0.500 1
Br7 0.500 0.250 0.750 1
Br8 0.500 0.750 0.250 1
Br9 0.750 0.250 0.500 1
Br10 0.750 0.500 0.250 1
Br11 0.756 0.000 0.756 1
Br12 0.756 0.756 0.000 1
```

Computed properties:
- energy relative to the elements, uncorrected (eV per atom) = -1.08
- energy (Ry per atom) = -0.2518

=====

4.
Entry from Alexandria via LeMat-Bulk: a relaxed structure of KZn4Si (PBE-GGA).

Structure (CIF):
```
data_KZn4Si
_space_group_name_H-M_alt 'P 1'
_space_group_IT_number 1
_cell_length_a 5.503
_cell_length_b 5.503
_cell_length_c 5.503
_cell_angle_alpha 60.00
_cell_angle_beta 60.00
_cell_angle_gamma 60.00
loop_
_space_group_symop_operation_xyz
'x,y,z'
loop_
_atom_site_label
_atom_site_fract_x
_atom_site_fract_y
_atom_site_fract_z
_atom_site_occupancy
K1 0.000 0.000 0.000 1
Zn1 0.376 0.376 0.376 1
Zn2 0.376 0.376 0.872 1
Zn3 0.376 0.872 0.376 1
Zn4 0.872 0.376 0.376 1
Si1 0.750 0.750 0.750 1
```

Computed properties:
- energy relative to the elements, uncorrected (eV per atom) = 0.28
- energy (Ry per atom) = -0.1218

=====

5.
Entry from Alexandria via LeMat-Bulk: a relaxed structure of Mo3Os (PBE-GGA).

Structure (CIF):
```
data_Mo3Os
_space_group_name_H-M_alt 'P 1'
_space_group_IT_number 1
_cell_length_a 4.494
_cell_length_b 5.502
_cell_length_c 5.079
_cell_angle_alpha 90.00
_cell_angle_beta 90.00
_cell_angle_gamma 90.00
loop_
_space_group_symop_operation_xyz
'x,y,z'
loop_
_atom_site_label
_atom_site_fract_x
_atom_site_fract_y
_atom_site_fract_z
_atom_site_occupancy
Mo1 0.250 0.018 0.150 1
Mo2 0.250 0.482 0.150 1
Mo3 0.250 0.750 0.611 1
Mo4 0.750 0.250 0.389 1
Mo5 0.750 0.518 0.850 1
Mo6 0.750 0.982 0.850 1
Os1 0.250 0.250 0.671 1
Os2 0.750 0.750 0.329 1
```

Computed properties:
- energy above the lowest structure with this stoichiometry (meV per atom) = 206.8
- E_form (kJ per mole of atoms) = 20.1
- energy (Ry per atom) = -0.7881

=====

6.
Entry from Alexandria via LeMat-Bulk: a relaxed structure of FeSi2Au (PBE-GGA).

Structure (CIF):
```
data_FeSi2Au
_space_group_name_H-M_alt 'P 1'
_space_group_IT_number 1
_cell_length_a 3.197
_cell_length_b 4.117
_cell_length_c 4.310
_cell_angle_alpha 90.00
_cell_angle_beta 90.00
_cell_angle_gamma 90.00
loop_
_space_group_symop_operation_xyz
'x,y,z'
loop_
_atom_site_label
_atom_site_fract_x
_atom_site_fract_y
_atom_site_fract_z
_atom_site_occupancy
Fe1 0.000 0.000 0.000 1
Si1 0.000 0.500 0.773 1
Si2 0.500 0.000 0.618 1
Au1 0.500 0.500 0.279 1
```

Computed properties:
- energy above the lowest structure with this stoichiometry (meV per atom) = 111.7
- energy relative to the elements, uncorrected (eV per atom) = 0.03
- energy (Ry per atom) = -0.4127

=====

7.
Entry from Alexandria via LeMat-Bulk: a relaxed structure of CaEr5Al4 (PBE-GGA).

Structure (CIF):
```
data_CaEr5Al4
_space_group_name_H-M_alt 'P 1'
_space_group_IT_number 1
_cell_length_a 3.546
_cell_length_b 3.546
_cell_length_c 20.081
_cell_angle_alpha 90.00
_cell_angle_beta 90.00
_cell_angle_gamma 90.00
loop_
_space_group_symop_operation_xyz
'x,y,z'
loop_
_atom_site_label
_atom_site_fract_x
_atom_site_fract_y
_atom_site_fract_z
_atom_site_occupancy
Ca1 0.000 0.000 0.000 1
Er1 0.500 0.500 0.141 1
Er2 0.500 0.500 0.320 1
Er3 0.500 0.500 0.500 1
Er4 0.500 0.500 0.680 1
Er5 0.500 0.500 0.859 1
Al1 0.000 0.000 0.230 1
Al2 0.000 0.000 0.410 1
Al3 0.000 0.000 0.590 1
Al4 0.000 0.000 0.770 1
```

Computed properties:
- E_form (kJ per mole of atoms) = -29.1
- energy (Ry per atom) = -0.3146

=====

8.
Entry from Alexandria via LeMat-Bulk: a relaxed structure of Mg2AsPt (PBE-GGA).

Structure (CIF):
```
data_Mg2AsPt
_space_group_name_H-M_alt 'P 1'
_space_group_IT_number 1
_cell_length_a 6.119
_cell_length_b 7.418
_cell_length_c 3.036
_cell_angle_alpha 90.00
_cell_angle_beta 90.00
_cell_angle_gamma 90.00
loop_
_space_group_symop_operation_xyz
'x,y,z'
loop_
_atom_site_label
_atom_site_fract_x
_atom_site_fract_y
_atom_site_fract_z
_atom_site_occupancy
Mg1 0.250 0.250 0.000 1
Mg2 0.250 0.750 0.000 1
Mg3 0.750 0.250 0.000 1
Mg4 0.750 0.750 0.000 1
As1 0.000 0.000 0.500 1
As2 0.500 0.500 0.500 1
Pt1 0.000 0.500 0.500 1
Pt2 0.500 0.000 0.500 1
```

Computed properties:
- E_form (kJ per mole of atoms) = -54.4
- energy (Ry per atom) = -0.2965

=====

9.
Entry from Alexandria via LeMat-Bulk: a relaxed structure of CrIn2As (PBE-GGA).

Structure (CIF):
```
data_CrIn2As
_space_group_name_H-M_alt 'P 1'
_space_group_IT_number 1
_cell_length_a 5.890
_cell_length_b 8.332
_cell_length_c 3.432
_cell_angle_alpha 90.00
_cell_angle_beta 90.00
_cell_angle_gamma 90.00
loop_
_space_group_symop_operation_xyz
'x,y,z'
loop_
_atom_site_label
_atom_site_fract_x
_atom_site_fract_y
_atom_site_fract_z
_atom_site_occupancy
Cr1 0.000 0.000 0.000 1
Cr2 0.500 0.500 0.000 1
In1 0.250 0.250 0.500 1
In2 0.250 0.750 0.500 1
In3 0.750 0.250 0.500 1
In4 0.750 0.750 0.500 1
As1 0.000 0.500 0.000 1
As2 0.500 0.000 0.000 1
```

Computed properties:
- E_form (kJ per mole of atoms) = 30.0
- energy (Ry per atom) = -0.3401

=====

10.
Entry from Alexandria via LeMat-Bulk: a relaxed structure of HfTc3B (PBE-GGA).

Structure (CIF):
```
data_HfTc3B
_space_group_name_H-M_alt 'P 1'
_space_group_IT_number 1
_cell_length_a 4.183
_cell_length_b 4.183
_cell_length_c 4.183
_cell_angle_alpha 90.00
_cell_angle_beta 90.00
_cell_angle_gamma 90.00
loop_
_space_group_symop_operation_xyz
'x,y,z'
loop_
_atom_site_label
_atom_site_fract_x
_atom_site_fract_y
_atom_site_fract_z
_atom_site_occupancy
Hf1 0.000 0.000 0.000 1
Tc1 0.000 0.500 0.500 1
Tc2 0.500 0.000 0.500 1
Tc3 0.500 0.500 0.000 1
B1 0.500 0.500 0.500 1
```

Computed properties:
- E_form (kJ per mole of atoms) = -16.7
- energy (Ry per atom) = -0.7143

=====

11.
Entry from Alexandria via LeMat-Bulk: a relaxed structure of LaEr3In3 (PBE-GGA).

Structure (CIF):
```
data_LaEr3In3
_space_group_name_H-M_alt 'P 1'
_space_group_IT_number 1
_cell_length_a 9.351
_cell_length_b 9.351
_cell_length_c 9.351
_cell_angle_alpha 90.00
_cell_angle_beta 90.00
_cell_angle_gamma 90.00
loop_
_space_group_symop_operation_xyz
'x,y,z'
loop_
_atom_site_label
_atom_site_fract_x
_atom_site_fract_y
_atom_site_fract_z
_atom_site_occupancy
La1 0.047 0.453 0.547 1
La2 0.453 0.547 0.047 1
La3 0.547 0.047 0.453 1
La4 0.953 0.953 0.953 1
Er1 0.121 0.621 0.879 1
Er2 0.168 0.168 0.168 1
Er3 0.201 0.799 0.299 1
Er4 0.299 0.201 0.799 1
Er5 0.332 0.832 0.668 1
Er6 0.379 0.379 0.379 1
Er7 0.621 0.879 0.121 1
Er8 0.668 0.332 0.832 1
Er9 0.701 0.701 0.701 1
Er10 0.799 0.299 0.201 1
Er11 0.832 0.668 0.332 1
Er12 0.879 0.121 0.621 1
In1 0.005 0.805 0.597 1
In2 0.097 0.495 0.195 1
In3 0.195 0.097 0.495 1
In4 0.305 0.903 0.995 1
In5 0.403 0.505 0.695 1
In6 0.495 0.195 0.097 1
In7 0.505 0.695 0.403 1
In8 0.597 0.005 0.805 1
In9 0.695 0.403 0.505 1
In10 0.805 0.597 0.005 1
In11 0.903 0.995 0.305 1
In12 0.995 0.305 0.903 1
```

Computed properties:
- E_form (kJ per mole of atoms) = -31.5
- energy (Ry per atom) = -0.3057

=====

12.
Entry from Alexandria via LeMat-Bulk: a relaxed structure of SrTeAu3 (PBE-GGA).

Structure (CIF):
```
data_SrTeAu3
_space_group_name_H-M_alt 'P 1'
_space_group_IT_number 1
_cell_length_a 5.363
_cell_length_b 5.363
_cell_length_c 5.363
_cell_angle_alpha 90.00
_cell_angle_beta 90.00
_cell_angle_gamma 90.00
loop_
_space_group_symop_operation_xyz
'x,y,z'
loop_
_atom_site_label
_atom_site_fract_x
_atom_site_fract_y
_atom_site_fract_z
_atom_site_occupancy
Sr1 0.000 0.000 0.000 1
Te1 0.500 0.500 0.500 1
Au1 0.000 0.500 0.500 1
Au2 0.500 0.000 0.500 1
Au3 0.500 0.500 0.000 1
```

Computed properties:
- energy above the lowest structure with this stoichiometry (meV per atom) = 0.0
- energy relative to the elements, uncorrected (eV per atom) = -0.13
- energy (Ry per atom) = -0.2249